The following is a SCAN calculation of Ag2PtW at its PBEsol-relaxed geometry, from the Alexandria database.

calculated volume: 63.1 Å³/cell
magnetic moment: 0.000 μB per atom
DFT total energy: -50.541 eV/atom
calculated formation energy: 0.113 eV per atom

Cell: 2.778 2.778 8.181 Å, 90.00 90.00 90.00°
Fractional coordinates of all 4 atoms:
Ag (0.000, 0.000, 0.000)
Ag (0.500, 0.500, 0.257)
Pt (0.000, 0.000, 0.517)
W (0.500, 0.500, 0.742)

The following is a SCAN calculation of Li2CuPb at its PBEsol-relaxed geometry, from the Alexandria database.

calculated volume: 66.6 Å³/cell
magnetic moment: 0.000 μB per atom
DFT total energy: -24.053 eV/atom
calculated formation energy: -0.113 eV per atom

Cell: 3.254 3.453 5.929 Å, 90.00 90.00 90.00°
Fractional coordinates of all 4 atoms:
Li (0.000, 0.000, 0.219)
Li (0.000, 0.000, 0.781)
Cu (0.500, 0.500, 0.000)
Pb (0.500, 0.500, 0.500)

The following is a SCAN calculation of MgCd2Ni at its PBEsol-relaxed geometry, from the Alexandria database.

calculated volume: 66.9 Å³/cell
magnetic moment: 0.000 μB per atom
DFT total energy: -20.513 eV/atom
calculated formation energy: -0.019 eV per atom

Cell: 5.031 5.031 5.031 Å, 132.99 132.99 68.67°
Fractional coordinates of all 4 atoms:
Mg (0.000, 0.000, 0.000)
Cd (0.250, 0.750, 0.500)
Cd (0.500, 0.500, 0.000)
Ni (0.750, 0.250, 0.500)

The following is a SCAN calculation of RhC3 at its PBEsol-relaxed geometry, from the Alexandria database.

calculated volume: 55.9 Å³/cell
magnetic moment: 0.000 μB per atom
DFT total energy: -14.866 eV/atom
calculated formation energy: 1.151 eV per atom

Cell: 2.567 7.047 3.090 Å, 90.00 90.00 90.00°
Fractional coordinates of all 4 atoms:
Rh (0.000, 0.000, 0.000)
C (0.000, 0.500, 0.524)
C (0.500, 0.000, 0.500)
C (0.500, 0.500, 0.524)

The following is a SCAN calculation of KAl2SiTe at its PBEsol-relaxed geometry, from the Alexandria database.

calculated volume: 169.0 Å³/cell
magnetic moment: 0.213 μB per atom
DFT total energy: -13.247 eV/atom
formation energy (no corrections): 0.97 eV per atom

Cell: 5.315 5.315 5.982 Å, 90.00 90.00 90.00°
Fractional coordinates of all 5 atoms:
K (0.000, 0.000, 0.000)
Al (0.000, 0.500, 0.500)
Al (0.500, 0.000, 0.500)
Si (0.500, 0.500, 0.000)
Te (0.000, 0.000, 0.500)

The following is a SCAN calculation of SrZnIn2 at its PBEsol-relaxed geometry, from the Alexandria database.

calculated volume: 98.8 Å³/cell
magnetic moment: 0.000 μB per atom
DFT total energy: -25.893 eV/atom
calculated formation energy: -0.252 eV per atom

Cell: 5.189 5.189 5.189 Å, 60.00 60.00 60.00°
Fractional coordinates of all 4 atoms:
Sr (0.000, 0.000, 0.000)
Zn (0.250, 0.250, 0.250)
In (0.500, 0.500, 0.500)
In (0.750, 0.750, 0.750)

The following is a SCAN calculation of NbTl3Cl at its PBEsol-relaxed geometry, from the Alexandria database.

calculated volume: 165.0 Å³/cell
magnetic moment: 0.683 μB per atom
DFT total energy: -51.339 eV/atom
formation energy (no corrections): 0.30 eV per atom

Cell: 5.485 5.485 5.485 Å, 90.00 90.00 90.00°
Fractional coordinates of all 5 atoms:
Nb (0.000, 0.000, 0.000)
Tl (0.000, 0.000, 0.500)
Tl (0.000, 0.500, 0.000)
Tl (0.500, 0.000, 0.000)
Cl (0.500, 0.500, 0.500)

The following is a SCAN calculation of Ta8Os at its PBEsol-relaxed geometry, from the Alexandria database.

calculated volume: 153.9 Å³/cell
magnetic moment: 0.000 μB per atom
DFT total energy: -67.348 eV/atom
calculated formation energy: -0.176 eV per atom

Cell: 7.099 7.099 7.099 Å, 92.95 92.95 153.78°
Fractional coordinates of all 9 atoms:
Ta (0.000, 0.333, 0.333)
Ta (0.000, 0.667, 0.667)
Ta (0.333, 0.000, 0.333)
Ta (0.337, 0.337, 0.673)
Ta (0.337, 0.663, 0.000)
Ta (0.663, 0.337, 0.000)
Ta (0.663, 0.663, 0.327)
Ta (0.667, 0.000, 0.667)
Os (0.000, 0.000, 0.000)

The following is a SCAN calculation of Mg2TaCo at its PBEsol-relaxed geometry, from the Alexandria database.

calculated volume: 64.6 Å³/cell
magnetic moment: 0.305 μB per atom
DFT total energy: -23.091 eV/atom
calculated formation energy: 0.368 eV per atom

Cell: 5.441 5.441 2.694 Å, 98.89 98.89 121.40°
Fractional coordinates of all 4 atoms:
Mg (0.000, 0.500, 0.000)
Mg (0.500, 0.000, 0.000)
Ta (0.000, 0.000, 0.500)
Co (0.500, 0.500, 0.500)

The following is a SCAN calculation of Mn2BeHg at its PBEsol-relaxed geometry, from the Alexandria database.

calculated volume: 55.0 Å³/cell
magnetic moment: 1.788 μB per atom
DFT total energy: -27.155 eV/atom
calculated formation energy: 0.102 eV per atom

Cell: 4.517 4.517 2.844 Å, 90.00 90.00 108.45°
Fractional coordinates of all 4 atoms:
Mn (0.000, 0.500, 0.000)
Mn (0.500, 0.000, 0.000)
Be (0.000, 0.000, 0.500)
Hg (0.500, 0.500, 0.500)

The following is a SCAN calculation of Ca19Ag8N7 at its PBEsol-relaxed geometry, from the Alexandria database.

calculated volume: 738.6 Å³/cell
magnetic moment: 0.000 μB per atom
DFT total energy: -15.330 eV/atom
formation energy (no corrections): -0.64 eV per atom

Cell: 10.146 10.146 10.146 Å, 60.00 60.00 60.00°
Fractional coordinates of all 34 atoms:
Ca (0.000, 0.000, 0.000)
Ca (0.000, 0.000, 0.331)
Ca (0.000, 0.000, 0.669)
Ca (0.000, 0.331, 0.000)
Ca (0.000, 0.331, 0.669)
Ca (0.000, 0.669, 0.000)
Ca (0.000, 0.669, 0.331)
Ca (0.331, 0.000, 0.000)
Ca (0.331, 0.000, 0.669)
Ca (0.331, 0.669, 0.000)
Ca (0.335, 0.335, 0.665)
Ca (0.335, 0.665, 0.335)
Ca (0.335, 0.665, 0.665)
Ca (0.665, 0.335, 0.335)
Ca (0.665, 0.335, 0.665)
Ca (0.665, 0.665, 0.335)
Ca (0.669, 0.000, 0.000)
Ca (0.669, 0.000, 0.331)
Ca (0.669, 0.331, 0.000)
Ag (0.034, 0.322, 0.322)
Ag (0.322, 0.034, 0.322)
Ag (0.322, 0.322, 0.034)
Ag (0.322, 0.322, 0.322)
Ag (0.678, 0.678, 0.678)
Ag (0.678, 0.678, 0.966)
Ag (0.678, 0.966, 0.678)
Ag (0.966, 0.678, 0.678)
N (0.174, 0.174, 0.826)
N (0.174, 0.826, 0.174)
N (0.174, 0.826, 0.826)
N (0.500, 0.500, 0.500)
N (0.826, 0.174, 0.174)
N (0.826, 0.174, 0.826)
N (0.826, 0.826, 0.174)

The following is a SCAN calculation of TePbI2N at its PBEsol-relaxed geometry, from the Alexandria database.

calculated volume: 223.8 Å³/cell
magnetic moment: 0.904 μB per atom
DFT total energy: -38.150 eV/atom
formation energy (no corrections): 1.01 eV per atom

Cell: 6.148 6.148 5.920 Å, 90.00 90.00 90.00°
Fractional coordinates of all 5 atoms:
Te (0.000, 0.000, 0.000)
Pb (0.000, 0.000, 0.500)
I (0.000, 0.500, 0.500)
I (0.500, 0.000, 0.500)
N (0.500, 0.500, 0.000)

The following is a SCAN calculation of La7Nb3W4O30 at its PBEsol-relaxed geometry, from the Alexandria database.

calculated volume: 573.7 Å³/cell
magnetic moment: 0.000 μB per atom
DFT total energy: -22.854 eV/atom
formation energy (no corrections): -3.15 eV per atom

Cell: 6.833 10.080 10.106 Å, 115.19 103.05 102.53°
Fractional coordinates of all 44 atoms:
La (0.000, 0.000, 0.000)
La (0.121, 0.568, 0.763)
La (0.358, 0.235, 0.807)
La (0.453, 0.811, 0.570)
La (0.547, 0.189, 0.430)
La (0.642, 0.765, 0.193)
La (0.879, 0.432, 0.237)
Nb (0.151, 0.785, 0.172)
Nb (0.500, 0.000, 0.000)
Nb (0.849, 0.215, 0.828)
W (0.018, 0.167, 0.378)
W (0.359, 0.381, 0.211)
W (0.641, 0.619, 0.789)
W (0.982, 0.833, 0.622)
O (0.003, 0.947, 0.223)
O (0.030, 0.652, 0.522)
O (0.058, 0.337, 0.790)
O (0.070, 0.283, 0.062)
O (0.212, 0.860, 0.826)
O (0.214, 0.953, 0.609)
O (0.216, 0.225, 0.282)
O (0.247, 0.200, 0.536)
O (0.267, 0.655, 0.039)
O (0.287, 0.537, 0.341)
O (0.363, 0.970, 0.145)
O (0.390, 0.178, 0.036)
O (0.393, 0.861, 0.350)
O (0.399, 0.616, 0.659)
O (0.492, 0.514, 0.862)
O (0.508, 0.486, 0.138)
O (0.601, 0.384, 0.341)
O (0.607, 0.139, 0.650)
O (0.610, 0.822, 0.964)
O (0.637, 0.030, 0.855)
O (0.713, 0.463, 0.659)
O (0.733, 0.345, 0.961)
O (0.753, 0.800, 0.464)
O (0.784, 0.775, 0.718)
O (0.786, 0.047, 0.391)
O (0.788, 0.140, 0.174)
O (0.930, 0.717, 0.938)
O (0.942, 0.663, 0.210)
O (0.970, 0.348, 0.478)
O (0.997, 0.053, 0.777)

The following is a SCAN calculation of SbMo2Cl at its PBEsol-relaxed geometry, from the Alexandria database.

calculated volume: 81.1 Å³/cell
magnetic moment: 0.000 μB per atom
DFT total energy: -28.895 eV/atom
formation energy (no corrections): -0.14 eV per atom

Cell: 3.224 3.097 8.279 Å, 90.00 101.17 90.00°
Fractional coordinates of all 4 atoms:
Sb (0.000, 0.000, 0.000)
Mo (0.385, 0.500, 0.769)
Mo (0.802, 0.000, 0.602)
Cl (0.689, 0.500, 0.372)

The following is a SCAN calculation of BiPd3Rh at its PBEsol-relaxed geometry, from the Alexandria database.

calculated volume: 117.2 Å³/cell
magnetic moment: 0.392 μB per atom
DFT total energy: -40.981 eV/atom
calculated formation energy: 1.154 eV per atom

Cell: 4.893 4.893 4.893 Å, 90.00 90.00 90.00°
Fractional coordinates of all 5 atoms:
Bi (0.000, 0.000, 0.000)
Pd (0.000, 0.000, 0.500)
Pd (0.000, 0.500, 0.000)
Pd (0.500, 0.000, 0.000)
Rh (0.500, 0.500, 0.500)

The following is a SCAN calculation of YCr2Pt at its PBEsol-relaxed geometry, from the Alexandria database.

calculated volume: 63.8 Å³/cell
magnetic moment: 0.024 μB per atom
DFT total energy: -33.930 eV/atom
calculated formation energy: -0.229 eV per atom

Cell: 3.015 3.015 7.022 Å, 90.00 90.00 90.00°
Fractional coordinates of all 4 atoms:
Y (0.000, 0.000, 0.000)
Cr (0.000, 0.000, 0.466)
Cr (0.500, 0.500, 0.316)
Pt (0.500, 0.500, 0.708)

The following is a SCAN calculation of ErVB4 at its PBEsol-relaxed geometry, from the Alexandria database.

calculated volume: 237.1 Å³/cell
magnetic moment: 0.000 μB per atom
DFT total energy: -17.053 eV/atom
calculated formation energy: -0.795 eV per atom

Cell: 5.992 11.593 3.413 Å, 90.00 90.00 90.00°
Fractional coordinates of all 24 atoms:
Er (0.124, 0.151, 0.000)
Er (0.376, 0.651, 0.000)
Er (0.624, 0.349, 0.000)
Er (0.876, 0.849, 0.000)
V (0.128, 0.417, 0.000)
V (0.372, 0.917, 0.000)
V (0.628, 0.083, 0.000)
V (0.872, 0.583, 0.000)
B (0.023, 0.693, 0.500)
B (0.115, 0.548, 0.500)
B (0.135, 0.968, 0.500)
B (0.213, 0.814, 0.500)
B (0.287, 0.314, 0.500)
B (0.365, 0.468, 0.500)
B (0.385, 0.048, 0.500)
B (0.477, 0.193, 0.500)
B (0.523, 0.807, 0.500)
B (0.615, 0.952, 0.500)
B (0.635, 0.532, 0.500)
B (0.713, 0.686, 0.500)
B (0.787, 0.186, 0.500)
B (0.865, 0.032, 0.500)
B (0.885, 0.452, 0.500)
B (0.977, 0.307, 0.500)

The following is a SCAN calculation of Mg2HgSe at its PBEsol-relaxed geometry, from the Alexandria database.

calculated volume: 87.5 Å³/cell
magnetic moment: 0.001 μB per atom
DFT total energy: -25.238 eV/atom
formation energy (no corrections): -0.69 eV per atom

Cell: 7.579 7.579 7.579 Å, 28.49 28.49 28.49°
Fractional coordinates of all 4 atoms:
Mg (0.241, 0.241, 0.241)
Mg (0.759, 0.759, 0.759)
Hg (0.000, 0.000, 0.000)
Se (0.500, 0.500, 0.500)

The following is a SCAN calculation of Nd2Ta3Se2O8 at its PBEsol-relaxed geometry, from the Alexandria database.

calculated volume: 879.6 Å³/cell
magnetic moment: 0.000 μB per atom
DFT total energy: -28.118 eV/atom
formation energy (no corrections): -2.99 eV per atom

Cell: 9.878 11.749 7.580 Å, 90.00 90.00 90.00°
Fractional coordinates of all 60 atoms:
Nd (0.211, 0.156, 0.000)
Nd (0.228, 0.148, 0.500)
Nd (0.272, 0.648, 0.000)
Nd (0.289, 0.656, 0.500)
Nd (0.711, 0.344, 0.500)
Nd (0.728, 0.352, 0.000)
Nd (0.772, 0.852, 0.500)
Nd (0.789, 0.844, 0.000)
Ta (0.000, 0.500, 0.286)
Ta (0.000, 0.500, 0.714)
Ta (0.135, 0.915, 0.250)
Ta (0.135, 0.915, 0.750)
Ta (0.365, 0.415, 0.250)
Ta (0.365, 0.415, 0.750)
Ta (0.500, 0.000, 0.214)
Ta (0.500, 0.000, 0.786)
Ta (0.635, 0.585, 0.250)
Ta (0.635, 0.585, 0.750)
Ta (0.865, 0.085, 0.250)
Ta (0.865, 0.085, 0.750)
Se (0.019, 0.334, 0.500)
Se (0.024, 0.360, 0.000)
Se (0.476, 0.860, 0.500)
Se (0.481, 0.834, 0.000)
Se (0.519, 0.166, 0.000)
Se (0.524, 0.140, 0.500)
Se (0.976, 0.640, 0.000)
Se (0.981, 0.666, 0.500)
O (0.058, 0.103, 0.255)
O (0.058, 0.103, 0.745)
O (0.135, 0.950, 0.000)
O (0.151, 0.951, 0.500)
O (0.198, 0.525, 0.265)
O (0.198, 0.525, 0.735)
O (0.214, 0.773, 0.247)
O (0.214, 0.773, 0.753)
O (0.286, 0.273, 0.253)
O (0.286, 0.273, 0.747)
O (0.302, 0.025, 0.235)
O (0.302, 0.025, 0.765)
O (0.349, 0.451, 0.000)
O (0.365, 0.450, 0.500)
O (0.442, 0.603, 0.245)
O (0.442, 0.603, 0.755)
O (0.558, 0.397, 0.245)
O (0.558, 0.397, 0.755)
O (0.635, 0.550, 0.500)
O (0.651, 0.549, 0.000)
O (0.698, 0.975, 0.235)
O (0.698, 0.975, 0.765)
O (0.714, 0.727, 0.253)
O (0.714, 0.727, 0.747)
O (0.786, 0.227, 0.247)
O (0.786, 0.227, 0.753)
O (0.802, 0.475, 0.265)
O (0.802, 0.475, 0.735)
O (0.849, 0.049, 0.500)
O (0.865, 0.050, 0.000)
O (0.942, 0.897, 0.255)
O (0.942, 0.897, 0.745)

The following is a SCAN calculation of Li2Hg at its PBEsol-relaxed geometry, from the Alexandria database.

calculated volume: 51.2 Å³/cell
magnetic moment: 0.000 μB per atom
DFT total energy: -24.715 eV/atom
calculated formation energy: -0.399 eV per atom

Cell: 5.090 5.090 5.090 Å, 141.30 141.30 55.88°
Fractional coordinates of all 3 atoms:
Li (0.162, 0.162, 0.000)
Li (0.838, 0.838, 0.000)
Hg (0.500, 0.500, 0.000)

The following is a SCAN calculation of Mn3Fe3Si2 at its PBEsol-relaxed geometry, from the Alexandria database.

calculated volume: 84.1 Å³/cell
magnetic moment: 0.680 μB per atom
DFT total energy: -16.435 eV/atom
formation energy (no corrections): -0.29 eV per atom

Cell: 6.760 6.760 6.760 Å, 33.55 33.55 33.55°
Fractional coordinates of all 8 atoms:
Mn (0.000, 0.000, 0.000)
Mn (0.250, 0.250, 0.250)
Mn (0.500, 0.500, 0.500)
Fe (0.125, 0.125, 0.125)
Fe (0.625, 0.625, 0.625)
Fe (0.749, 0.749, 0.749)
Si (0.376, 0.376, 0.376)
Si (0.874, 0.874, 0.874)